Model one:
# Mn3PbBr, relaxed, DFT GGA-PBE
# Magnetic moment   10.784 μB/f.u.
# DOS at the Fermi energy   0.92 states/eV per atom
# V   21.6 Å³/atom
# Density   6.96 g cm⁻³
data_Mn3PbBr
_cell_length_a 4.7606
_cell_length_b 4.7606
_cell_length_c 4.7606
_cell_angle_alpha 90.00
_cell_angle_beta 90.00
_cell_angle_gamma 90.00
_symmetry_space_group_name_H-M 'P m -3 m'
_symmetry_Int_Tables_number 221
_symmetry_space_group_name_Hall '-P 4 2 3'
loop_
_atom_site_label
_atom_site_fract_x
_atom_site_fract_y
_atom_site_fract_z
Mn1 0.0000 0.0000 0.5000
Pb1 0.5000 0.5000 0.5000
Br1 0.0000 0.0000 0.0000

=====

Model two:
# Mn3PbBr, relaxed, DFT GGA-PBE
# Magnetic moment   14.000 μB/f.u.
# DOS at the Fermi energy   1.27 states/eV per atom
# V   30.2 Å³/atom
# Density   4.96 g cm⁻³
data_Mn3PbBr
_cell_length_a 5.3268
_cell_length_b 5.3268
_cell_length_c 5.3268
_cell_angle_alpha 90.00
_cell_angle_beta 90.00
_cell_angle_gamma 90.00
_symmetry_space_group_name_H-M 'P m -3 m'
_symmetry_Int_Tables_number 221
_symmetry_space_group_name_Hall '-P 4 2 3'
loop_
_atom_site_label
_atom_site_fract_x
_atom_site_fract_y
_atom_site_fract_z
Mn1 0.0000 0.0000 0.5000
Pb1 0.0000 0.0000 0.0000
Br1 0.5000 0.5000 0.5000

=====

Which structure is most stable? model one, by 40 meV/atom over the runner-up.

=====

Model one:
# Mn2PdBr, relaxed, DFT GGA-PBE
# Magnetic moment   0.000 μB/f.u.
# DOS at the Fermi energy   1.86 states/eV per atom
# V   13.8 Å³/atom
# Density   8.88 g cm⁻³
data_Mn2PdBr
_cell_length_a 6.0508
_cell_length_b 6.0508
_cell_length_c 6.0508
_cell_angle_alpha 90.00
_cell_angle_beta 90.00
_cell_angle_gamma 90.00
_symmetry_space_group_name_H-M 'F m -3 m'
_symmetry_Int_Tables_number 225
_symmetry_space_group_name_Hall '-F 4 2 3'
loop_
_atom_site_label
_atom_site_fract_x
_atom_site_fract_y
_atom_site_fract_z
Mn1 0.2500 0.2500 0.2500
Pd1 0.0000 0.0000 0.0000
Br1 0.0000 0.0000 0.5000

=====

Model two:
# Mn2PdBr, relaxed, DFT GGA-PBE
# Magnetic moment   8.944 μB/f.u.
# DOS at the Fermi energy   0.43 states/eV per atom
# V   20.8 Å³/atom
# Density   5.91 g cm⁻³
data_Mn2PdBr
_cell_length_a 6.9215
_cell_length_b 6.9215
_cell_length_c 6.9438
_cell_angle_alpha 90.00
_cell_angle_beta 90.00
_cell_angle_gamma 90.00
_symmetry_space_group_name_H-M 'I -4 2 d'
_symmetry_Int_Tables_number 122
_symmetry_space_group_name_Hall 'I -4 2bw'
loop_
_atom_site_label
_atom_site_fract_x
_atom_site_fract_y
_atom_site_fract_z
Mn1 0.2391 0.2500 0.1250
Pd1 0.0000 0.0000 0.0000
Br1 0.0000 0.0000 0.5000

=====

Which structure is most stable? model two, by 546 meV/atom over the runner-up.

=====

Model one:
# MnPdBr2, relaxed, DFT GGA-PBE
# Magnetic moment   0.167 μB/f.u.
# DOS at the Fermi energy   1.77 states/eV per atom
# V   23.0 Å³/atom
# Density   5.80 g cm⁻³
data_MnPdBr2
_cell_length_a 5.8734
_cell_length_b 5.8734
_cell_length_c 10.6670
_cell_angle_alpha 90.00
_cell_angle_beta 90.00
_cell_angle_gamma 90.00
_symmetry_space_group_name_H-M 'I -4 2 d'
_symmetry_Int_Tables_number 122
_symmetry_space_group_name_Hall 'I -4 2bw'
loop_
_atom_site_label
_atom_site_fract_x
_atom_site_fract_y
_atom_site_fract_z
Mn1 0.0000 0.0000 0.0000
Pd1 0.0000 0.0000 0.5000
Br1 0.2102 0.2500 0.1250

=====

Model two:
# MnPdBr2, relaxed, DFT GGA-PBE
# Magnetic moment   3.959 μB/f.u.
# DOS at the Fermi energy   1.29 states/eV per atom
# V   27.3 Å³/atom
# Density   4.88 g cm⁻³
data_MnPdBr2
_cell_length_a 4.0484
_cell_length_b 4.0484
_cell_length_c 23.0749
_cell_angle_alpha 90.00
_cell_angle_beta 90.00
_cell_angle_gamma 120.00
_symmetry_space_group_name_H-M 'R -3 m'
_symmetry_Int_Tables_number 166
_symmetry_space_group_name_Hall '-R 3 2"'
loop_
_atom_site_label
_atom_site_fract_x
_atom_site_fract_y
_atom_site_fract_z
Mn1 0.0000 0.0000 0.0000
Pd1 0.0000 0.0000 0.5000
Br1 0.0000 0.0000 0.1025

=====

Which structure is most stable? model two, by 273 meV/atom over the runner-up.

=====

Model one:
# MnPtBr2, relaxed, DFT GGA-PBE
# Magnetic moment   4.677 μB/f.u.
# DOS at the Fermi energy   0.41 states/eV per atom
# V   21.3 Å³/atom
# Density   7.99 g cm⁻³
data_MnPtBr2
_cell_length_a 3.7850
_cell_length_b 3.7850
_cell_length_c 11.8850
_cell_angle_alpha 90.00
_cell_angle_beta 90.00
_cell_angle_gamma 90.00
_symmetry_space_group_name_H-M 'I -4 m 2'
_symmetry_Int_Tables_number 119
_symmetry_space_group_name_Hall 'I -4 -2'
loop_
_atom_site_label
_atom_site_fract_x
_atom_site_fract_y
_atom_site_fract_z
Mn1 0.0000 0.0000 0.0000
Pt1 0.0000 0.5000 0.7500
Br1 0.0000 0.0000 0.5000
Br2 0.0000 0.5000 0.2500

=====

Model two:
# MnPtBr2, relaxed, DFT GGA-PBE
# Magnetic moment   4.867 μB/f.u.
# DOS at the Fermi energy   0.57 states/eV per atom
# V   20.3 Å³/atom
# Density   8.38 g cm⁻³
data_MnPtBr2
_cell_length_a 6.8734
_cell_length_b 6.8734
_cell_length_c 6.8734
_cell_angle_alpha 90.00
_cell_angle_beta 90.00
_cell_angle_gamma 90.00
_symmetry_space_group_name_H-M 'F -4 3 m'
_symmetry_Int_Tables_number 216
_symmetry_space_group_name_Hall 'F -4 2 3'
loop_
_atom_site_label
_atom_site_fract_x
_atom_site_fract_y
_atom_site_fract_z
Mn1 0.0000 0.0000 0.0000
Pt1 0.2500 0.2500 0.2500
Br1 0.0000 0.0000 0.5000
Br2 0.2500 0.2500 0.7500

=====

Model three:
# MnPtBr2, relaxed, DFT GGA-PBE
# Magnetic moment   0.000 μB/f.u.
# DOS at the Fermi energy   1.64 states/eV per atom
# V   20.8 Å³/atom
# Density   8.19 g cm⁻³
data_MnPtBr2
_cell_length_a 2.8792
_cell_length_b 2.8792
_cell_length_c 34.7047
_cell_angle_alpha 90.00
_cell_angle_beta 90.00
_cell_angle_gamma 120.00
_symmetry_space_group_name_H-M 'R -3 m'
_symmetry_Int_Tables_number 166
_symmetry_space_group_name_Hall '-R 3 2"'
loop_
_atom_site_label
_atom_site_fract_x
_atom_site_fract_y
_atom_site_fract_z
Mn1 0.0000 0.0000 0.0000
Pt1 0.0000 0.0000 0.5000
Br1 0.0000 0.0000 0.0653

=====

Which structure is most stable? model one, by 257 meV/atom over the runner-up.

=====

Model one:
# Rb2MnBr4, relaxed, DFT GGA-PBE
# Magnetic moment   5.000 μB/f.u.
# DOS at the Fermi energy   0.00 states/eV per atom
# V   39.3 Å³/atom
# Density   3.29 g cm⁻³
data_Rb2MnBr4
_cell_length_a 7.7200
_cell_length_b 7.7285
_cell_length_c 9.7423
_cell_angle_alpha 90.00
_cell_angle_beta 108.65
_cell_angle_gamma 90.00
_symmetry_space_group_name_H-M 'P 1 21/m 1'
_symmetry_Int_Tables_number 11
loop_
_symmetry_equiv_pos_as_xyz
'x,y,z'
'-x,-y,-z'
'-x,y+1/2,-z'
'x,-y+1/2,z'
loop_
_atom_site_label
_atom_site_fract_x
_atom_site_fract_y
_atom_site_fract_z
Rb1 0.2118 0.2500 0.0476
Rb2 0.2808 0.2500 0.5731
Mn1 0.2204 0.7500 0.7951
Br1 0.0041 0.0005 0.7350
Br2 0.3907 0.7500 0.0604
Br3 0.4199 0.7500 0.6375

=====

Model two:
# Rb2MnBr4, relaxed, DFT GGA-PBE
# Magnetic moment   5.000 μB/f.u.
# V   35.8 Å³/atom
# Density   3.61 g cm⁻³
data_Rb2MnBr4
_cell_length_a 5.4115
_cell_length_b 5.4115
_cell_length_c 17.1302
_cell_angle_alpha 90.00
_cell_angle_beta 90.00
_cell_angle_gamma 90.00
_symmetry_space_group_name_H-M 'I 4/m m m'
_symmetry_Int_Tables_number 139
_symmetry_space_group_name_Hall '-I 4 2'
loop_
_atom_site_label
_atom_site_fract_x
_atom_site_fract_y
_atom_site_fract_z
Rb1 0.0000 0.0000 0.1404
Mn1 0.0000 0.0000 0.5000
Br1 0.0000 0.0000 0.3435
Br2 0.0000 0.5000 0.0000

=====

Which structure is most stable? model one, by 35 meV/atom over the runner-up.

=====

Model one:
# RbMn3Br, relaxed, DFT GGA-PBE
# Magnetic moment   15.000 μB/f.u.
# DOS at the Fermi energy   0.02 states/eV per atom
# V   49.9 Å³/atom
# Density   2.20 g cm⁻³
data_RbMn3Br
_cell_length_a 6.2956
_cell_length_b 6.2956
_cell_length_c 6.2956
_cell_angle_alpha 90.00
_cell_angle_beta 90.00
_cell_angle_gamma 90.00
_symmetry_space_group_name_H-M 'P m -3 m'
_symmetry_Int_Tables_number 221
_symmetry_space_group_name_Hall '-P 4 2 3'
loop_
_atom_site_label
_atom_site_fract_x
_atom_site_fract_y
_atom_site_fract_z
Rb1 0.0000 0.0000 0.0000
Mn1 0.0000 0.0000 0.5000
Br1 0.5000 0.5000 0.5000

=====

Model two:
# RbMn3Br, relaxed, DFT GGA-PBE
# Magnetic moment   10.709 μB/f.u.
# DOS at the Fermi energy   1.09 states/eV per atom
# V   25.9 Å³/atom
# Density   4.23 g cm⁻³
data_RbMn3Br
_cell_length_a 5.0621
_cell_length_b 5.0621
_cell_length_c 5.0621
_cell_angle_alpha 90.00
_cell_angle_beta 90.00
_cell_angle_gamma 90.00
_symmetry_space_group_name_H-M 'P m -3 m'
_symmetry_Int_Tables_number 221
_symmetry_space_group_name_Hall '-P 4 2 3'
loop_
_atom_site_label
_atom_site_fract_x
_atom_site_fract_y
_atom_site_fract_z
Rb1 0.0000 0.0000 0.0000
Mn1 0.0000 0.5000 0.5000
Br1 0.5000 0.5000 0.5000

=====

Which structure is most stable? model two, by 714 meV/atom over the runner-up.